VASP calculation (PBE) on a relaxed structure of Re2NiW.

E_form (meV/atom): 11.3

abc: 3.843 3.843 3.870
angles: 90.00 90.00 90.00
Space group P4/mmm (No. 123)
Unique sites:
1 Re 0.000 0.500 0.000 (multiplicity 2)
2 Ni 0.000 0.000 0.500 (multiplicity 1)
3 W 0.500 0.500 0.500 (multiplicity 1)

---

VASP calculation (PBE) on a relaxed structure of CoRe3.

E_form (meV/atom): 118.4

abc: 5.308 8.239 5.132
angles: 90.00 90.00 90.00
Space group Pnma (No. 62)
Unique sites:
1 Co 0.077 0.250 0.043 (multiplicity 4)
2 Re 0.033 0.250 0.555 (multiplicity 4)
3 Re 0.179 0.521 0.790 (multiplicity 8)

---

VASP calculation (PBE) on a relaxed structure of Li2BiSb.

Uncorrected formation energy (eV/atom): -0.13

abc: 8.031 8.031 6.146
angles: 90.00 90.00 90.00
Space group I-42d (No. 122)
Unique sites:
1 Li 0.233 0.250 0.125 (multiplicity 8)
2 Bi 0.000 0.000 0.500 (multiplicity 4)
3 Sb 0.000 0.000 0.000 (multiplicity 4)